Record 1
VASP calculation (GGA-PBE) on a relaxed NdThOsPt crystal.

a = 7.1565 Å, b = 7.1565 Å, c = 7.1565 Å
α = 90.00°, β = 90.00°, γ = 90.00°
Space group F-43m (No. 216)
Inequivalent atoms, fractional coordinates:
1 Nd 0.0000 0.0000 0.0000 x4
2 Th 0.0000 0.0000 0.5000 x4
3 Os 0.2500 0.2500 0.2500 x4
4 Pt 0.2500 0.2500 0.7500 x4

Values from the calculation:
Density of states at the Fermi level (states/eV/atom): 0.81
Crystal system: cubic
DFT formation energy (eV per atom): -0.521
Magnetic moment (μB per cell): 0.00
Theoretical density (g cm⁻³): 13.8

Record 2
VASP calculation (GGA-PBE) on a relaxed Nd2PuOs2 crystal.

a = 10.0362 Å, b = 5.9897 Å, c = 8.0929 Å
α = 90.00°, β = 101.06°, γ = 90.00°
Space group C2/c (No. 15)
Inequivalent atoms, fractional coordinates:
1 Nd 0.1499 0.1311 0.1500 x8
2 Pu 0.0000 0.3779 0.7500 x4
3 Os 0.1361 0.3626 0.5085 x8

Values from the calculation:
Density of states at the Fermi level (states/eV/atom): 1.46
Crystal system: monoclinic
DFT formation energy (eV per atom): -0.117
Magnetic moment (μB per cell): 17.39
Theoretical density (g cm⁻³): 12.7

Record 3
VASP calculation (GGA-PBE) on a relaxed Nd2Pu3Os2 crystal.

a = 11.4331 Å, b = 4.0791 Å, c = 8.3287 Å
α = 90.00°, β = 115.12°, γ = 90.00°
Space group C2/m (No. 12)
Inequivalent atoms, fractional coordinates:
1 Nd 0.1556 0.0000 0.3042 x4
2 Pu 0.0000 0.5000 0.5000 x2
3 Pu 0.1206 0.5000 0.9401 x4
4 Os 0.1507 0.0000 0.7315 x4

Values from the calculation:
Density of states at the Fermi level (states/eV/atom): 2.51
Crystal system: monoclinic
DFT formation energy (eV per atom): -0.040
Magnetic moment (μB per cell): 32.13
Theoretical density (g cm⁻³): 13.2